NbRe2NiAg: optimized geometry, PBE-GGA.

abc: 4.738 4.738 4.784
angles: 90.00 90.00 90.00
Element x y z (fractional)
Nb (0.000, 0.000, 0.000)
Re (0.000, 0.500, 0.500)
Re (0.500, 0.000, 0.500)
Ni (0.500, 0.500, 0.000)
Ag (0.000, 0.000, 0.500)

Computed properties:
Space group: P4/mmm
E_form: 2854 meV per atom



Nb2NiAg2S6: optimized geometry, PBE-GGA.

abc: 6.178 6.178 6.929
angles: 96.61 96.61 122.07
Element x y z (fractional)
Nb (0.135, 0.865, 0.000)
Nb (0.865, 0.135, 0.000)
Ni (0.500, 0.500, 0.000)
Ag (0.145, 0.855, 0.500)
Ag (0.855, 0.145, 0.500)
S (0.130, 0.465, 0.809)
S (0.244, 0.244, 0.240)
S (0.465, 0.130, 0.809)
S (0.535, 0.870, 0.191)
S (0.756, 0.756, 0.760)
S (0.870, 0.535, 0.191)

Computed properties:
Space group: C2/m
Formation energy without anion corrections: -5.70 eV/f.u.



NbNi2AgSb: optimized geometry, PBE-GGA.

abc: 4.556 4.556 4.950
angles: 90.00 90.00 90.00
Element x y z (fractional)
Nb (0.000, 0.000, 0.000)
Ni (0.000, 0.500, 0.500)
Ni (0.500, 0.000, 0.500)
Ag (0.500, 0.500, 0.500)
Sb (0.500, 0.500, 0.000)

Computed properties:
Space group: P4/mmm
Formation energy without anion corrections: 6.62 eV/f.u.



Nb2NiAg2Se6: optimized geometry, PBE-GGA.

abc: 6.480 6.480 6.883
angles: 95.09 95.09 121.96
Element x y z (fractional)
Nb (0.130, 0.870, 0.000)
Nb (0.870, 0.130, 0.000)
Ni (0.500, 0.500, 0.000)
Ag (0.141, 0.859, 0.500)
Ag (0.859, 0.141, 0.500)
Se (0.145, 0.482, 0.803)
Se (0.238, 0.238, 0.256)
Se (0.482, 0.145, 0.803)
Se (0.518, 0.855, 0.197)
Se (0.762, 0.762, 0.744)
Se (0.855, 0.518, 0.197)

Computed properties:
Space group: C2/m
Formation energy without anion corrections: -4.45 eV/f.u.



NpNbAgO6: optimized geometry, PBE-GGA.

abc: 5.553 5.553 9.991
angles: 90.00 90.00 120.00
Element x y z (fractional)
Np (0.333, 0.667, 0.250)
Np (0.667, 0.333, 0.750)
Nb (0.333, 0.667, 0.750)
Nb (0.667, 0.333, 0.250)
Ag (0.000, 0.000, 0.000)
Ag (0.000, 0.000, 0.500)
O (0.007, 0.376, 0.643)
O (0.007, 0.631, 0.857)
O (0.369, 0.376, 0.857)
O (0.369, 0.993, 0.643)
O (0.376, 0.007, 0.143)
O (0.376, 0.369, 0.357)
O (0.624, 0.631, 0.643)
O (0.624, 0.993, 0.857)
O (0.631, 0.007, 0.357)
O (0.631, 0.624, 0.143)
O (0.993, 0.369, 0.143)
O (0.993, 0.624, 0.357)

Computed properties:
Space group: P-31c
Formation energy without anion corrections: -19.61 eV/f.u.



Nb3AgO: optimized geometry, PBE-GGA.

abc: 4.283 4.283 4.283
angles: 90.00 90.00 90.00
Element x y z (fractional)
Nb (0.000, 0.000, 0.500)
Nb (0.000, 0.500, 0.000)
Nb (0.500, 0.000, 0.000)
Ag (0.500, 0.500, 0.500)
O (0.000, 0.000, 0.000)

Computed properties:
Space group: Pm-3m
Formation energy without anion corrections: -2.59 eV/f.u.
Offset from the most stable computed form: 0.0 kJ/mol of formula units



NbAgO3: optimized geometry, PBE-GGA.

abc: 5.667 5.667 7.001
angles: 99.79 99.79 39.18
Element x y z (fractional)
Nb (0.122, 0.122, 0.380)
Nb (0.878, 0.878, 0.620)
Ag (0.381, 0.381, 0.085)
Ag (0.619, 0.619, 0.915)
O (0.058, 0.058, 0.683)
O (0.158, 0.158, 0.132)
O (0.329, 0.329, 0.550)
O (0.671, 0.671, 0.450)
O (0.842, 0.842, 0.868)
O (0.942, 0.942, 0.317)

Computed properties:
Space group: C2/m
Formation energy without anion corrections: -8.98 eV/f.u.



NbAgO2: optimized geometry, PBE-GGA.

abc: 4.038 4.038 4.038
angles: 60.00 60.00 60.00
Element x y z (fractional)
Nb (0.000, 0.000, 0.000)
Ag (0.500, 0.500, 0.500)
O (0.250, 0.250, 0.250)
O (0.750, 0.750, 0.750)

Computed properties:
Space group: Fm-3m
Formation energy without anion corrections: -2.10 eV/f.u.